1.
Ta3Ir5: optimized geometry, PBE.

Unit cell a=5.198 b=7.471 c=7.539 alpha=84.89 beta=71.22 gamma=70.99
Space group P1 (No. 1)
Inequivalent atoms, fractional coordinates:
Ta 0.000 0.000 0.000 (multiplicity 1)
Ta 0.077 0.762 0.582 (multiplicity 1)
Ta 0.184 0.367 0.326 (multiplicity 1)
Ta 0.525 0.358 0.623 (multiplicity 1)
Ta 0.665 0.746 0.395 (multiplicity 1)
Ta 0.830 0.663 0.984 (multiplicity 1)
Ir 0.128 0.297 0.953 (multiplicity 1)
Ir 0.236 0.070 0.597 (multiplicity 1)
Ir 0.250 0.713 0.191 (multiplicity 1)
Ir 0.429 0.720 0.786 (multiplicity 1)
Ir 0.455 0.025 0.177 (multiplicity 1)
Ir 0.566 0.372 0.977 (multiplicity 1)
Ir 0.653 0.024 0.797 (multiplicity 1)
Ir 0.695 0.429 0.271 (multiplicity 1)
Ir 0.827 0.049 0.389 (multiplicity 1)
Ir 0.956 0.457 0.675 (multiplicity 1)

Properties
D(E_F) (states/eV/atom): 0.648
E_form (meV per atom): -378
Polymorph energy (0 for the lowest one) (meV per atom): 217

---

2.
Ti5Ga4Rh: optimized geometry, PBE.

Unit cell a=7.999 b=7.999 c=5.299 alpha=90.00 beta=90.00 gamma=90.00
Space group I4 (No. 79)
Inequivalent atoms, fractional coordinates:
Ti 0.000 0.000 0.000 (multiplicity 2)
Ti 0.077 0.311 0.760 (multiplicity 8)
Ga 0.097 0.261 0.265 (multiplicity 8)
Rh 0.000 0.000 0.530 (multiplicity 2)

Properties
D(E_F) (states/eV/atom): 1.010
E_form (meV per atom): -229
Polymorph energy (0 for the lowest one) (meV per atom): 212

---

3.
KCaCl2: optimized geometry, PBE.

Unit cell a=16.126 b=3.760 c=4.186 alpha=90.00 beta=90.06 gamma=90.00
Space group Cm (No. 8)
Inequivalent atoms, fractional coordinates:
K 0.000 0.000 0.000 (multiplicity 2)
Ca 0.252 0.000 0.499 (multiplicity 2)
Cl 0.118 0.500 0.499 (multiplicity 2)
Cl 0.291 0.500 0.999 (multiplicity 2)

Properties
D(E_F) (states/eV/atom): 0.381
Raw formation energy (kJ per mole of atoms): -158.8
Polymorph energy (0 for the lowest one) (meV per atom): 87

---

4.
SnSbRhO6: optimized geometry, PBE.

Unit cell a=4.736 b=4.736 c=9.583 alpha=90.00 beta=90.00 gamma=90.00
Space group P4_2nm (No. 102)
Inequivalent atoms, fractional coordinates:
Sn 0.000 0.000 0.000 (multiplicity 2)
Sb 0.000 0.000 0.667 (multiplicity 2)
Rh 0.000 0.000 0.333 (multiplicity 2)
O 0.188 0.188 0.502 (multiplicity 4)
O 0.193 0.193 0.830 (multiplicity 4)
O 0.196 0.196 0.168 (multiplicity 4)

Properties
D(E_F) (states/eV/atom): 0.090
Raw formation energy (kJ per mole of atoms): -123.1

---

5.
LuPa2Sn: optimized geometry, PBE.

Unit cell a=4.416 b=4.416 c=5.117 alpha=90.00 beta=90.00 gamma=90.00
Space group P4/mmm (No. 123)
Inequivalent atoms, fractional coordinates:
Lu 0.000 0.000 0.000 (multiplicity 1)
Pa 0.000 0.500 0.500 (multiplicity 2)
Sn 0.500 0.500 0.000 (multiplicity 1)

Properties
D(E_F) (states/eV/atom): 1.447
E_form (meV per atom): -207
Polymorph energy (0 for the lowest one) (meV per atom): 0

---

6.
AcAgS2: optimized geometry, PBE.

Unit cell a=4.4080 b=4.4080 c=17.6643 alpha=90.00 beta=90.00 gamma=120.00
Space group R-3m (No. 166, hexagonal axes)
Inequivalent atoms, fractional coordinates:
Ac 0.0000 0.0000 0.0000 (multiplicity 3)
Ag 0.0000 0.0000 0.5000 (multiplicity 3)
S 0.0000 0.0000 0.2457 (multiplicity 6)

Properties
D(E_F) (states/eV/atom): 0.000
Raw formation energy (kJ per mole of atoms): -124.9

---

We obtain total DFT energy (no corrections) values of -10.361 -6.122 -3.344 -6.301 -7.086 -5.098 eV per atom for the records listed above, in that order.
We obtain magnetic moment values of 0.000 0.000 0.109 0.000 0.000 0.000 μB per atom for the records listed above, in that order.